Computed, not measured: CrFe2Se after structural relaxation at the PBE-GGA level of DFT.

Values from the calculation:
The value obtained for the formation energy (no corrections) is 26.69 kJ/mol of atoms. Its polymorph energy (0 for the lowest one) is 84 meV/atom. As for the symmetry: Cm (8).

a b c (Å): 8.4424 2.9823 4.2221
angles (deg): 90.00 105.96 90.00
Fractional coordinates of all 8 atoms:
Cr 0.0000 0.0000 0.0000
Cr 0.5000 0.5000 0.0000
Fe 0.2250 0.0000 0.6254
Fe 0.4879 0.0000 0.4953
Fe 0.7250 0.5000 0.6254
Fe 0.9879 0.5000 0.4953
Se 0.2360 0.5000 0.1361
Se 0.7360 0.0000 0.1361

Computed, not measured: ReWS2 after structural relaxation at the PBE-GGA level of DFT.

Values from the calculation:
The value obtained for the formation energy (no corrections) is 4.94 kJ/mol of atoms. Its polymorph energy (0 for the lowest one) is 0 meV/atom. As for the symmetry: R-3m (166).

a b c (Å): 3.0096 3.0096 23.9222
angles (deg): 90.00 90.00 120.00
Fractional coordinates of all 12 atoms:
Re 0.0000 0.0000 0.0000
Re 0.3333 0.6667 0.6667
Re 0.6667 0.3333 0.3333
W 0.0000 0.0000 0.5000
W 0.3333 0.6667 0.1667
W 0.6667 0.3333 0.8333
S 0.0000 0.0000 0.0955
S 0.0000 0.0000 0.9045
S 0.3333 0.6667 0.5712
S 0.3333 0.6667 0.7622
S 0.6667 0.3333 0.2378
S 0.6667 0.3333 0.4288

Computed, not measured: Cs3TaCl after structural relaxation at the PBE-GGA level of DFT.

Values from the calculation:
The value obtained for the formation energy (no corrections) is 41.86 kJ/mol of atoms. Its polymorph energy (0 for the lowest one) is 0 meV/atom. As for the symmetry: Pm-3m (221).

a b c (Å): 6.5349 6.5349 6.5349
angles (deg): 90.00 90.00 90.00
Fractional coordinates of all 5 atoms:
Cs 0.0000 0.0000 0.5000
Cs 0.0000 0.5000 0.0000
Cs 0.5000 0.0000 0.0000
Ta 0.5000 0.5000 0.5000
Cl 0.0000 0.0000 0.0000